Version i
This record from Alexandria describes Y7Ho3Tm2 after structural relaxation. The functional is GGA-PBE.

Cell and atoms, written as CIF:
```
data_Y7Ho3Tm2
_chemical_formula_sum 'Y7 Ho3 Tm2'
_cell_length_a 6.348
_cell_length_b 3.532
_cell_length_c 17.127
_cell_angle_alpha 90.00
_cell_angle_beta 90.16
_cell_angle_gamma 90.00
_space_group_name_H-M_alt 'P 1 2/m 1'
_space_group_IT_number 10
_space_group_name_Hall '-P 2y'
loop_
_atom_site_label
_atom_site_fract_x
_atom_site_fract_y
_atom_site_fract_z
_atom_site_occupancy
Y1 0.000 0.000 0.000 1
Y2 0.176 0.500 0.169 1
Y3 0.245 0.500 0.497 1
Y4 0.324 0.000 0.834 1
Ho1 0.002 0.000 0.342 1
Ho2 0.500 0.500 0.000 1
Tm1 0.492 0.500 0.674 1
```

Summary:
For the density of states at the Fermi level, the calculation gives 20.1 states/eV/f.u.

=====

Version ii
This record from Alexandria describes Y7Ho3Tm2 after structural relaxation. The functional is GGA-PBE.

Cell and atoms, written as CIF:
```
data_Y7Ho3Tm2
_chemical_formula_sum 'Y7 Ho3 Tm2'
_cell_length_a 5.778
_cell_length_b 3.564
_cell_length_c 18.604
_cell_angle_alpha 90.00
_cell_angle_beta 93.60
_cell_angle_gamma 90.00
_space_group_name_H-M_alt 'P 1 2/m 1'
_space_group_IT_number 10
_space_group_name_Hall '-P 2y'
loop_
_atom_site_label
_atom_site_fract_x
_atom_site_fract_y
_atom_site_fract_z
_atom_site_occupancy
Y1 0.000 0.000 0.000 1
Y2 0.186 0.500 0.182 1
Y3 0.258 0.500 0.536 1
Y4 0.318 0.000 0.856 1
Ho1 0.220 0.000 0.367 1
Ho2 0.500 0.500 0.000 1
Tm1 0.293 0.500 0.705 1
```

Summary:
For the density of states at the Fermi level, the calculation gives 16.6 states/eV/f.u.

=====

In meV per atom, relative to the most stable structure: version i 0; version ii 21.

=====

Version i
This record from Alexandria describes YHo3Tm after structural relaxation. The functional is GGA-PBE.

Cell and atoms, written as CIF:
```
data_YHo3Tm
_chemical_formula_sum 'Y4 Ho12 Tm4'
_cell_length_a 9.237
_cell_length_b 7.366
_cell_length_c 9.237
_cell_angle_alpha 90.00
_cell_angle_beta 90.00
_cell_angle_gamma 90.00
_space_group_name_H-M_alt 'P n m a'
_space_group_IT_number 62
_space_group_name_Hall '-P 2ac 2n'
loop_
_atom_site_label
_atom_site_fract_x
_atom_site_fract_y
_atom_site_fract_z
_atom_site_occupancy
Y1 0.000 0.000 0.000 1
Ho1 0.127 0.000 0.373 1
Ho2 0.171 0.250 0.670 1
Tm1 0.171 0.750 0.671 1
```

Summary:
For the density of states at the Fermi level, the calculation gives 4.1 states/eV/f.u.

=====

Version ii
This record from Alexandria describes YHo3Tm after structural relaxation. The functional is GGA-PBE.

Cell and atoms, written as CIF:
```
data_YHo3Tm
_chemical_formula_sum 'Y2 Ho6 Tm2'
_cell_length_a 6.108
_cell_length_b 6.108
_cell_length_c 9.319
_cell_angle_alpha 83.77
_cell_angle_beta 70.96
_cell_angle_gamma 70.60
_space_group_name_H-M_alt 'P -1'
_space_group_IT_number 2
_space_group_name_Hall '-P 1'
loop_
_atom_site_label
_atom_site_fract_x
_atom_site_fract_y
_atom_site_fract_z
_atom_site_occupancy
Y1 0.150 0.250 0.200 1
Ho1 0.050 0.750 0.400 1
Ho2 0.250 0.750 0.000 1
Ho3 0.351 0.250 0.799 1
Tm1 0.451 0.750 0.599 1
```

Summary:
For the density of states at the Fermi level, the calculation gives 7.3 states/eV/f.u.

=====

In meV per atom, relative to the most stable structure: version i 52; version ii 0.

=====

Version i
This record from Alexandria describes Y4Ho2Tm after structural relaxation. The functional is GGA-PBE.

Cell and atoms, written as CIF:
```
data_Y4Ho2Tm
_chemical_formula_sum 'Y8 Ho4 Tm2'
_cell_length_a 5.909
_cell_length_b 6.703
_cell_length_c 11.649
_cell_angle_alpha 90.00
_cell_angle_beta 104.54
_cell_angle_gamma 90.00
_space_group_name_H-M_alt 'P 1 21/m 1'
_space_group_IT_number 11
_space_group_name_Hall '-P 2yb'
loop_
_atom_site_label
_atom_site_fract_x
_atom_site_fract_y
_atom_site_fract_z
_atom_site_occupancy
Y1 0.140 0.250 0.153 1
Y2 0.266 0.750 0.427 1
Y3 0.346 0.502 0.710 1
Ho1 0.168 0.250 0.439 1
Ho2 0.413 0.750 0.006 1
Tm1 0.008 0.250 0.855 1
```

Summary:
For the density of states at the Fermi level, the calculation gives 13.0 states/eV/f.u.

=====

Version ii
This record from Alexandria describes Y4Ho2Tm after structural relaxation. The functional is GGA-PBE.

Cell and atoms, written as CIF:
```
data_Y4Ho2Tm
_chemical_formula_sum 'Y8 Ho4 Tm2'
_cell_length_a 16.692
_cell_length_b 3.544
_cell_length_c 8.687
_cell_angle_alpha 90.00
_cell_angle_beta 119.76
_cell_angle_gamma 90.00
_space_group_name_H-M_alt 'C 1 2/m 1'
_space_group_IT_number 12
_space_group_name_Hall '-C 2y'
loop_
_atom_site_label
_atom_site_fract_x
_atom_site_fract_y
_atom_site_fract_z
_atom_site_occupancy
Y1 0.140 0.000 0.335 1
Y2 0.203 0.000 0.793 1
Ho1 0.070 0.500 0.930 1
Tm1 0.000 0.500 0.500 1
```

Summary:
For the density of states at the Fermi level, the calculation gives 12.5 states/eV/f.u.

=====

In meV per atom, relative to the most stable structure: version i 106; version ii 0.

=====

Version i
This record from Alexandria describes Y2Ho2Tm5 after structural relaxation. The functional is GGA-PBE.

Cell and atoms, written as CIF:
```
data_Y2Ho2Tm5
_chemical_formula_sum 'Y8 Ho8 Tm20'
_cell_length_a 14.774
_cell_length_b 11.591
_cell_length_c 6.657
_cell_angle_alpha 90.00
_cell_angle_beta 90.00
_cell_angle_gamma 90.00
_space_group_name_H-M_alt 'I m a 2'
_space_group_IT_number 46
_space_group_name_Hall 'I 2 -2a'
loop_
_atom_site_label
_atom_site_fract_x
_atom_site_fract_y
_atom_site_fract_z
_atom_site_occupancy
Y1 0.127 0.008 0.000 1
Ho1 0.000 0.000 0.445 1
Ho2 0.250 0.516 0.054 1
Tm1 0.053 0.240 0.653 1
Tm2 0.142 0.739 0.834 1
Tm3 0.250 0.240 0.344 1
```

Summary:
For the density of states at the Fermi level, the calculation gives 16.1 states/eV/f.u.

=====

Version ii
This record from Alexandria describes Y2Ho2Tm5 after structural relaxation. The functional is GGA-PBE.

Cell and atoms, written as CIF:
```
data_Y2Ho2Tm5
_chemical_formula_sum 'Y4 Ho4 Tm10'
_cell_length_a 16.275
_cell_length_b 5.681
_cell_length_c 6.309
_cell_angle_alpha 90.00
_cell_angle_beta 106.02
_cell_angle_gamma 90.00
_space_group_name_H-M_alt 'C 1 2/m 1'
_space_group_IT_number 12
_space_group_name_Hall '-C 2y'
loop_
_atom_site_label
_atom_site_fract_x
_atom_site_fract_y
_atom_site_fract_z
_atom_site_occupancy
Y1 0.062 0.000 0.290 1
Ho1 0.101 0.500 0.012 1
Tm1 0.000 0.500 0.500 1
Tm2 0.181 0.000 0.858 1
Tm3 0.208 0.500 0.570 1
```

Summary:
For the density of states at the Fermi level, the calculation gives 19.8 states/eV/f.u.

=====

In meV per atom, relative to the most stable structure: version i 101; version ii 0.

=====

Version i
This record from Alexandria describes Y3HoTm2 after structural relaxation. The functional is GGA-PBE.

Cell and atoms, written as CIF:
```
data_Y3HoTm2
_chemical_formula_sum 'Y12 Ho4 Tm8'
_cell_length_a 17.532
_cell_length_b 7.142
_cell_length_c 6.180
_cell_angle_alpha 90.00
_cell_angle_beta 103.59
_cell_angle_gamma 90.00
_space_group_name_H-M_alt 'C 1 2/c 1'
_space_group_IT_number 15
_space_group_name_Hall '-C 2yc'
loop_
_atom_site_label
_atom_site_fract_x
_atom_site_fract_y
_atom_site_fract_z
_atom_site_occupancy
Y1 0.000 0.127 0.250 1
Y2 0.168 0.125 0.029 1
Ho1 0.000 0.377 0.750 1
Tm1 0.167 0.376 0.528 1
```

Summary:
For the density of states at the Fermi level, the calculation gives 8.8 states/eV/f.u.

=====

Version ii
This record from Alexandria describes Y3HoTm2 after structural relaxation. The functional is GGA-PBE.

Cell and atoms, written as CIF:
```
data_Y3HoTm2
_chemical_formula_sum 'Y12 Ho4 Tm8'
_cell_length_a 17.328
_cell_length_b 7.073
_cell_length_c 6.121
_cell_angle_alpha 90.00
_cell_angle_beta 90.01
_cell_angle_gamma 90.00
_space_group_name_H-M_alt 'C 1 2/c 1'
_space_group_IT_number 15
_space_group_name_Hall '-C 2yc'
loop_
_atom_site_label
_atom_site_fract_x
_atom_site_fract_y
_atom_site_fract_z
_atom_site_occupancy
Y1 0.000 0.125 0.250 1
Y2 0.167 0.375 0.083 1
Ho1 0.000 0.375 0.750 1
Tm1 0.167 0.125 0.583 1
```

Summary:
For the density of states at the Fermi level, the calculation gives 9.2 states/eV/f.u.

=====

In meV per atom, relative to the most stable structure: version i 0; version ii 26.

=====

Version i
This record from Alexandria describes YHo3Tm6 after structural relaxation. The functional is GGA-PBE.

Cell and atoms, written as CIF:
```
data_YHo3Tm6
_chemical_formula_sum 'Y4 Ho12 Tm24'
_cell_length_a 9.470
_cell_length_b 20.738
_cell_length_c 6.299
_cell_angle_alpha 90.00
_cell_angle_beta 90.00
_cell_angle_gamma 90.00
_space_group_name_H-M_alt 'C m c 21'
_space_group_IT_number 36
_space_group_name_Hall 'C 2c -2'
loop_
_atom_site_label
_atom_site_fract_x
_atom_site_fract_y
_atom_site_fract_z
_atom_site_occupancy
Y1 0.000 0.162 0.000 1
Ho1 0.000 0.420 0.920 1
Ho2 0.170 0.127 0.525 1
Tm1 0.000 0.014 0.199 1
Tm2 0.000 0.302 0.228 1
Tm3 0.176 0.281 0.685 1
Tm4 0.182 0.439 0.447 1
```

Summary:
For the density of states at the Fermi level, the calculation gives 15.6 states/eV/f.u.

=====

Version ii
This record from Alexandria describes YHo3Tm6 after structural relaxation. The functional is GGA-PBE.

Cell and atoms, written as CIF:
```
data_YHo3Tm6
_chemical_formula_sum 'Y4 Ho12 Tm24'
_cell_length_a 10.874
_cell_length_b 18.744
_cell_length_c 6.118
_cell_angle_alpha 90.00
_cell_angle_beta 90.00
_cell_angle_gamma 90.00
_space_group_name_H-M_alt 'C m c 21'
_space_group_IT_number 36
_space_group_name_Hall 'C 2c -2'
loop_
_atom_site_label
_atom_site_fract_x
_atom_site_fract_y
_atom_site_fract_z
_atom_site_occupancy
Y1 0.000 0.207 0.000 1
Ho1 0.000 0.391 0.920 1
Ho2 0.172 0.108 0.310 1
Tm1 0.000 0.047 0.767 1
Tm2 0.000 0.284 0.493 1
Tm3 0.165 0.452 0.382 1
Tm4 0.249 0.289 0.210 1
```

Summary:
For the density of states at the Fermi level, the calculation gives 15.1 states/eV/f.u.

=====

In meV per atom, relative to the most stable structure: version i 0; version ii 32.